[1]
TaFeMo2, PBEsol geometry, DFT SCAN; formation enthalpy at 0 K = -0.02 eV/atom; raw total energy = -38.639 eV per atom; distance to the lowest polymorph of the same formula = 0.000 eV/atom; space group = Pmmm (47)
1.0
3.1268 0.0000 0.0000
0.0000 4.2636 0.0000
0.0000 0.0000 4.4088
Ta Fe Mo
1 1 2
Direct
0.0000 0.0000 0.0000
0.5000 0.5000 0.0000
0.0000 0.5000 0.5000
0.5000 0.0000 0.5000

---

[2]
LiAlAg2, PBEsol geometry, DFT SCAN; formation enthalpy at 0 K = -0.22 eV/atom; raw total energy = -18.434 eV per atom; space group = Pmmm (47)
1.0
3.0728 0.0000 0.0000
0.0000 3.2074 0.0000
0.0000 0.0000 6.1895
Li Al Ag
1 1 2
Direct
0.0000 0.0000 0.0000
0.0000 0.0000 0.5000
0.5000 0.5000 0.2474
0.5000 0.5000 0.7526